The following is a PBE calculation of a relaxed structure of Fe2AgW, from Alexandria via LeMat-Bulk.

POSCAR file:
```
Fe2AgW
1.0
-1.1822 -2.2391 0.8112
1.3677 1.0502 2.0238
-6.9954 4.5507 2.3661
Ag Fe W
1 2 1
Cartesian
-5.2412 2.8754 3.2216 Ag
-1.5747 0.4903 1.9815 Fe
-0.1618 0.1053 0.0547 Fe
-3.3299 2.1662 1.1263 W
```

symmetry	Cmm2, No. 35
formation energy	0.33	eV per atom
magnetic moment	4.59	μB/f.u.